Entry 1:
A relaxed PrEr2Zn4 crystal, computed with PBE.

The structure in CIF format:
```
data_PrEr2Zn4
_chemical_formula_sum 'Pr2 Er4 Zn8'
_cell_length_a 5.004
_cell_length_b 5.004
_cell_length_c 13.862
_cell_angle_alpha 90.00
_cell_angle_beta 90.00
_cell_angle_gamma 90.00
_space_group_name_H-M_alt 'I 4/m m m'
_space_group_IT_number 139
_space_group_name_Hall '-I 4 2'
loop_
_atom_site_label
_atom_site_type_symbol
_atom_site_fract_x
_atom_site_fract_y
_atom_site_fract_z
Pr1 Pr 0.000 0.000 0.000
Er1 Er 0.000 0.000 0.260
Zn1 Zn 0.000 0.500 0.126
```

Entry 2:
A relaxed PrErZn2 crystal, computed with PBE.

The structure in CIF format:
```
data_PrErZn2
_chemical_formula_sum 'Pr4 Er4 Zn8'
_cell_length_a 7.257
_cell_length_b 7.257
_cell_length_c 7.257
_cell_angle_alpha 90.00
_cell_angle_beta 90.00
_cell_angle_gamma 90.00
_space_group_name_H-M_alt 'F m -3 m'
_space_group_IT_number 225
_space_group_name_Hall '-F 4 2 3'
loop_
_atom_site_label
_atom_site_type_symbol
_atom_site_fract_x
_atom_site_fract_y
_atom_site_fract_z
Pr1 Pr 0.000 0.000 0.000
Er1 Er 0.000 0.000 0.500
Zn1 Zn 0.250 0.250 0.250
```

Entry 3:
A relaxed Pr4Er5Zn crystal, computed with PBE.

The structure in CIF format:
```
data_Pr4Er5Zn
_chemical_formula_sum 'Pr4 Er5 Zn1'
_cell_length_a 3.599
_cell_length_b 3.599
_cell_length_c 24.002
_cell_angle_alpha 90.00
_cell_angle_beta 90.00
_cell_angle_gamma 90.00
_space_group_name_H-M_alt 'P 4/m m m'
_space_group_IT_number 123
_space_group_name_Hall '-P 4 2'
loop_
_atom_site_label
_atom_site_type_symbol
_atom_site_fract_x
_atom_site_fract_y
_atom_site_fract_z
Pr1 Pr 0.000 0.000 0.106
Pr2 Pr 0.000 0.000 0.319
Er1 Er 0.500 0.500 0.000
Er2 Er 0.500 0.500 0.213
Er3 Er 0.500 0.500 0.428
Zn1 Zn 0.000 0.000 0.500
```

Entry 4:
A relaxed PrEr5Zn4 crystal, computed with PBE.

The structure in CIF format:
```
data_PrEr5Zn4
_chemical_formula_sum 'Pr1 Er5 Zn4'
_cell_length_a 3.555
_cell_length_b 3.555
_cell_length_c 19.357
_cell_angle_alpha 90.00
_cell_angle_beta 90.00
_cell_angle_gamma 90.00
_space_group_name_H-M_alt 'P 4/m m m'
_space_group_IT_number 123
_space_group_name_Hall '-P 4 2'
loop_
_atom_site_label
_atom_site_type_symbol
_atom_site_fract_x
_atom_site_fract_y
_atom_site_fract_z
Pr1 Pr 0.000 0.000 0.000
Er1 Er 0.500 0.500 0.137
Er2 Er 0.500 0.500 0.318
Er3 Er 0.500 0.500 0.500
Zn1 Zn 0.000 0.000 0.227
Zn2 Zn 0.000 0.000 0.408
```

Entry 5:
A relaxed PrEr3Zn2 crystal, computed with PBE.

The structure in CIF format:
```
data_PrEr3Zn2
_chemical_formula_sum 'Pr1 Er3 Zn2'
_cell_length_a 3.551
_cell_length_b 3.551
_cell_length_c 12.295
_cell_angle_alpha 90.00
_cell_angle_beta 90.00
_cell_angle_gamma 90.00
_space_group_name_H-M_alt 'P 4/m m m'
_space_group_IT_number 123
_space_group_name_Hall '-P 4 2'
loop_
_atom_site_label
_atom_site_type_symbol
_atom_site_fract_x
_atom_site_fract_y
_atom_site_fract_z
Pr1 Pr 0.000 0.000 0.000
Er1 Er 0.500 0.500 0.215
Er2 Er 0.500 0.500 0.500
Zn1 Zn 0.000 0.000 0.358
```

Entry 6:
A relaxed Pr6ErZn2 crystal, computed with PBE.

The structure in CIF format:
```
data_Pr6ErZn2
_chemical_formula_sum 'Pr12 Er2 Zn4'
_cell_length_a 12.911
_cell_length_b 3.744
_cell_length_c 12.178
_cell_angle_alpha 90.00
_cell_angle_beta 109.72
_cell_angle_gamma 90.00
_space_group_name_H-M_alt 'C 1 2/m 1'
_space_group_IT_number 12
loop_
_space_group_symop_operation_xyz
'x,y,z'
'-x,-y,-z'
'-x,y,-z'
'x,-y,z'
'x+1/2,y+1/2,z'
'-x+1/2,-y+1/2,-z'
'-x+1/2,y+1/2,-z'
'x+1/2,-y+1/2,z'
loop_
_atom_site_label
_atom_site_type_symbol
_atom_site_fract_x
_atom_site_fract_y
_atom_site_fract_z
Pr1 Pr 0.029 0.000 0.325
Pr2 Pr 0.188 0.500 0.593
Pr3 Pr 0.188 0.500 0.876
Er1 Er 0.000 0.000 0.000
Zn1 Zn 0.142 0.500 0.189
```

Entry 7:
A relaxed PrErZn crystal, computed with PBE.

The structure in CIF format:
```
data_PrErZn
_chemical_formula_sum 'Pr4 Er4 Zn4'
_cell_length_a 10.119
_cell_length_b 5.005
_cell_length_c 7.093
_cell_angle_alpha 90.00
_cell_angle_beta 90.00
_cell_angle_gamma 90.00
_space_group_name_H-M_alt 'P n m a'
_space_group_IT_number 62
loop_
_space_group_symop_operation_xyz
'x,y,z'
'-x,-y,-z'
'-x+1/2,-y,z+1/2'
'x+1/2,y,-z+1/2'
'x+1/2,-y+1/2,-z+1/2'
'-x+1/2,y+1/2,z+1/2'
'-x,y+1/2,-z'
'x,-y+1/2,z'
loop_
_atom_site_label
_atom_site_type_symbol
_atom_site_fract_x
_atom_site_fract_y
_atom_site_fract_z
Pr1 Pr 0.135 0.250 0.005
Er1 Er 0.117 0.250 0.506
Zn1 Zn 0.124 0.750 0.256
```

Entry 8:
A relaxed Pr4Er3Zn crystal, computed with PBE.

The structure in CIF format:
```
data_Pr4Er3Zn
_chemical_formula_sum 'Pr4 Er3 Zn1'
_cell_length_a 3.669
_cell_length_b 3.669
_cell_length_c 18.731
_cell_angle_alpha 90.00
_cell_angle_beta 90.00
_cell_angle_gamma 90.00
_space_group_name_H-M_alt 'P 4/m m m'
_space_group_IT_number 123
_space_group_name_Hall '-P 4 2'
loop_
_atom_site_label
_atom_site_type_symbol
_atom_site_fract_x
_atom_site_fract_y
_atom_site_fract_z
Pr1 Pr 0.000 0.000 0.099
Pr2 Pr 0.000 0.000 0.368
Er1 Er 0.500 0.500 0.236
Er2 Er 0.500 0.500 0.500
Zn1 Zn 0.500 0.500 0.000
```

V: 173.52, 95.55, 310.93, 244.66, 155.06, 277.08, 89.81, 252.10 (Å³/f.u.)
ΔH_f (0 K): -0.87, -1.24, -0.52, -2.74, -1.40, -1.16, 0.09, -0.43 (eV/f.u.)